VASP calculation (PBE) on a relaxed structure of Rb3Tl3Au2.

a = 6.904 Å, b = 9.451 Å, c = 18.078 Å
α = 90.00°, β = 90.00°, γ = 90.00°
Element x y z (fractional)
Tl: 0.593 0.337 0.750
Tl: 0.396 0.675 0.965
Tl: 0.407 0.663 0.250
Tl: 0.104 0.175 0.965
Tl: 0.896 0.825 0.035
Tl: 0.604 0.325 0.035
Tl: 0.396 0.675 0.535
Tl: 0.896 0.825 0.465
Tl: 0.104 0.175 0.535
Tl: 0.093 0.163 0.250
Tl: 0.604 0.325 0.465
Tl: 0.907 0.837 0.750
Rb: 0.889 0.810 0.250
Rb: 0.400 0.965 0.391
Rb: 0.100 0.465 0.391
Rb: 0.400 0.965 0.109
Rb: 0.900 0.535 0.609
Rb: 0.900 0.535 0.891
Rb: 0.611 0.310 0.250
Rb: 0.100 0.465 0.109
Rb: 0.389 0.690 0.750
Rb: 0.600 0.035 0.891
Rb: 0.111 0.190 0.750
Rb: 0.600 0.035 0.609
Au: 0.895 0.109 0.391
Au: 0.105 0.891 0.609
Au: 0.895 0.109 0.109
Au: 0.395 0.391 0.609
Au: 0.605 0.609 0.391
Au: 0.605 0.609 0.109
Au: 0.395 0.391 0.891
Au: 0.105 0.891 0.891

Calculated values
Energy above the most stable polymorph in this dataset (eV per atom): 0.0305
Formation enthalpy at 0 K (eV per atom): -0.14
Space group: Pnma, No. 62

VASP calculation (PBE) on a relaxed structure of Pr14HoMg.

a = 7.329 Å, b = 7.329 Å, c = 10.428 Å
α = 90.00°, β = 90.00°, γ = 90.00°
Element x y z (fractional)
Pr: 0.125 0.375 0.754
Pr: 0.125 0.875 0.246
Pr: 0.625 0.375 0.753
Pr: 0.875 0.125 0.500
Pr: 0.125 0.375 0.246
Pr: 0.125 0.875 0.754
Pr: 0.625 0.375 0.247
Pr: 0.875 0.626 0.500
Pr: 0.625 0.875 0.754
Pr: 0.625 0.875 0.246
Pr: 0.376 0.125 0.000
Pr: 0.375 0.625 0.500
Pr: 0.374 0.125 0.500
Pr: 0.875 0.624 0.000
Mg: 0.875 0.125 0.000
Ho: 0.375 0.625 0.000

Calculated values
Formation enthalpy at 0 K (eV per atom): 0.00
Space group: Amm2, No. 38

VASP calculation (PBE) on a relaxed structure of SrCuSi2.

a = 4.121 Å, b = 7.110 Å, c = 10.820 Å
α = 90.00°, β = 90.00°, γ = 90.00°
Element x y z (fractional)
Si: 0.750 0.294 0.655
Si: 0.750 0.961 0.647
Si: 0.250 0.206 0.155
Si: 0.250 0.706 0.345
Si: 0.750 0.794 0.845
Si: 0.250 0.039 0.353
Si: 0.250 0.539 0.147
Si: 0.750 0.461 0.853
Cu: 0.750 0.368 0.072
Cu: 0.250 0.132 0.572
Cu: 0.250 0.632 0.928
Cu: 0.750 0.868 0.428
Sr: 0.250 0.129 0.867
Sr: 0.750 0.371 0.367
Sr: 0.750 0.871 0.133
Sr: 0.250 0.629 0.633

Calculated values
Formation energy without anion corrections (meV per atom): -348
Space group: Pnma, No. 62